Entry from Alexandria: a relaxed structure of CeTc2Ge2C (GGA-PBE).

As for the total energy: -7.922 eV per atom. The value obtained for the density of states at the Fermi level is 7.0 states/eV per cell. The formation energy is -0.401 eV/atom.

```
data_CeTc2Ge2C
_cell_length_a 4.196
_cell_length_b 4.196
_cell_length_c 5.450
_cell_angle_alpha 90.00
_cell_angle_beta 90.00
_cell_angle_gamma 90.00
_space_group_name_H-M_alt 'P 4/m m m'
_space_group_IT_number 123
_space_group_name_Hall '-P 4 2'
loop_
_atom_site_label
_atom_site_type_symbol
_atom_site_fract_x
_atom_site_fract_y
_atom_site_fract_z
Ce1 Ce 0.000 0.000 0.000
Tc1 Tc 0.000 0.500 0.500
Ge1 Ge 0.500 0.500 0.222
C1 C 0.000 0.000 0.500
```

---

Entry from Alexandria: a relaxed structure of Er3ZrSb4 (GGA-PBE).

As for the total energy: -5.802 eV per atom. The value obtained for the density of states at the Fermi level is 3.1 states/eV per cell. The raw formation energy is -0.961 eV per atom.

```
data_Er3ZrSb4
_cell_length_a 7.435
_cell_length_b 8.600
_cell_length_c 7.412
_cell_angle_alpha 90.00
_cell_angle_beta 109.54
_cell_angle_gamma 90.00
_space_group_name_H-M_alt 'P 1 2/c 1'
_space_group_IT_number 13
loop_
_space_group_symop_operation_xyz
'x,y,z'
'-x,-y,-z'
'-x,y,-z+1/2'
'x,-y,z+1/2'
loop_
_atom_site_label
_atom_site_type_symbol
_atom_site_fract_x
_atom_site_fract_y
_atom_site_fract_z
Er1 Er 0.000 0.125 0.250
Er2 Er 0.000 0.375 0.750
Er3 Er 0.500 0.125 0.750
Zr1 Zr 0.500 0.377 0.250
Sb1 Sb 0.254 0.130 0.004
Sb2 Sb 0.258 0.379 0.500
```

---

Entry from Alexandria: a relaxed structure of K2PtO4 (GGA-PBE).

As for the total energy: -4.814 eV per atom. The value obtained for the density of states at the Fermi level is 12.4 states/eV per cell. The raw formation energy is -0.804 eV per atom.

```
data_K2PtO4
_cell_length_a 7.261
_cell_length_b 8.928
_cell_length_c 8.954
_cell_angle_alpha 90.00
_cell_angle_beta 90.00
_cell_angle_gamma 90.00
_space_group_name_H-M_alt 'F m m m'
_space_group_IT_number 69
_space_group_name_Hall '-F 2 2'
loop_
_atom_site_label
_atom_site_type_symbol
_atom_site_fract_x
_atom_site_fract_y
_atom_site_fract_z
K1 K 0.250 0.250 0.250
Pt1 Pt 0.000 0.000 0.000
O1 O 0.000 0.000 0.209
O2 O 0.000 0.209 0.000
```